1.
Compound: ScCdCu3Se4
Source: Alexandria via LeMat-Bulk
Functional: GGA-PBE
Structure: relaxed

Cell lengths 5.926, 5.926, 5.926 Å; angles 90.00, 90.00, 90.00 degrees
Space group P-43m (No. 215)
Unique sites:
Sc: 0.000 0.000 0.000 [1 per cell]
Cd: 0.500 0.500 0.500 [1 per cell]
Cu: 0.000 0.000 0.500 [3 per cell]
Se: 0.244 0.244 0.244 [4 per cell]

Computed properties:
E, hartree per atom: -0.158

***

2.
Compound: KCuI2F
Source: Alexandria via LeMat-Bulk
Functional: GGA-PBE
Structure: relaxed

Cell lengths 5.728, 5.728, 4.061 Å; angles 90.00, 90.00, 90.00 degrees
Space group P4/mmm (No. 123)
Unique sites:
K: 0.000 0.000 0.000 [1 per cell]
Cu: 0.500 0.500 0.500 [1 per cell]
I: 0.000 0.500 0.500 [2 per cell]
F: 0.500 0.500 0.000 [1 per cell]

Computed properties:
DOS(E_F), states/eV per cell: 2.70
E, hartree per atom: -0.111

***

3.
Compound: Ca2Mg6AlHg
Source: Alexandria via LeMat-Bulk
Functional: GGA-PBE
Structure: relaxed

Cell lengths 8.183, 9.831, 6.840 Å; angles 90.00, 90.00, 90.00 degrees
Space group Pmmn (No. 59, origin choice 2)
Unique sites:
Ca: 0.250 0.001 0.245 [4 per cell]
Mg: 0.065 0.250 0.929 [4 per cell]
Mg: 0.069 0.750 0.563 [4 per cell]
Mg: 0.250 0.501 0.748 [4 per cell]
Al: 0.250 0.750 0.944 [2 per cell]
Hg: 0.250 0.250 0.548 [2 per cell]

Computed properties:
DOS(E_F), states/eV per cell: 12.12
E_form, meV per atom: -19
E, hartree per atom: -0.065

***

Look up the E of the second one.
-0.111 hartree per atom

***

The highest E belongs to which entry?
Ca2Mg6AlHg

***

What did the first record say?
Compound: ScCdCu3Se4
Source: Alexandria via LeMat-Bulk
Functional: GGA-PBE
Structure: relaxed

Cell lengths 5.926, 5.926, 5.926 Å; angles 90.00, 90.00, 90.00 degrees
Space group P-43m (No. 215)
Unique sites:
Sc: 0.000 0.000 0.000 [1 per cell]
Cd: 0.500 0.500 0.500 [1 per cell]
Cu: 0.000 0.000 0.500 [3 per cell]
Se: 0.244 0.244 0.244 [4 per cell]

Computed properties:
E, hartree per atom: -0.158

***

What is the E in the second record?
-0.111 hartree per atom